Density functional theory data (GGA-PBE) for Cs3Pd after structural relaxation.

- space-group type = No. 185
- final energy (eV per atom) = -1.7893

a b c (Å): 11.031 11.031 11.388
angles (deg): 90.00 90.00 120.00
Fractional coordinates of all 24 atoms:
Cs 0.000 0.000 0.000
Cs 0.000 0.000 0.500
Cs 0.000 0.299 0.784
Cs 0.000 0.366 0.135
Cs 0.000 0.634 0.635
Cs 0.000 0.701 0.284
Cs 0.299 0.000 0.784
Cs 0.299 0.299 0.284
Cs 0.333 0.667 0.437
Cs 0.333 0.667 0.937
Cs 0.366 0.000 0.135
Cs 0.366 0.366 0.635
Cs 0.634 0.000 0.635
Cs 0.634 0.634 0.135
Cs 0.667 0.333 0.437
Cs 0.667 0.333 0.937
Cs 0.701 0.000 0.284
Cs 0.701 0.701 0.784
Pd 0.000 0.329 0.459
Pd 0.000 0.671 0.959
Pd 0.329 0.000 0.459
Pd 0.329 0.329 0.959
Pd 0.671 0.000 0.959
Pd 0.671 0.671 0.459

=====

Density functional theory data (GGA-PBE) for Nb4NiSnC2 after structural relaxation.

- space-group type = No. 187
- size of the total moment (μB/atom) = 0.003
- final energy (eV per atom) = -8.8801

a b c (Å): 3.191 3.191 13.447
angles (deg): 90.00 90.00 120.00
Fractional coordinates of all 8 atoms:
Nb 0.000 0.000 0.144
Nb 0.000 0.000 0.856
Nb 0.333 0.667 0.325
Nb 0.333 0.667 0.675
Ni 0.333 0.667 0.000
Sn 0.000 0.000 0.500
C 0.667 0.333 0.233
C 0.667 0.333 0.767

=====

Density functional theory data (GGA-PBE) for Y2Cu2Si after structural relaxation.

- space-group type = No. 139
- size of the total moment (μB/atom) = 0.009
- final energy (eV per atom) = -5.2871

a b c (Å): 5.190 5.190 5.190
angles (deg): 116.23 116.23 96.66
Fractional coordinates of all 5 atoms:
Y 0.250 0.750 0.500
Y 0.750 0.250 0.500
Cu 0.162 0.162 0.000
Cu 0.838 0.838 0.000
Si 0.500 0.500 0.000

=====

Density functional theory data (GGA-PBE) for NaThSc after structural relaxation.

- space-group type = No. 216
- size of the total moment (μB/atom) = 0.277
- final energy (eV per atom) = -3.9218

a b c (Å): 5.131 5.131 5.131
angles (deg): 60.00 60.00 60.00
Fractional coordinates of all 3 atoms:
Na 0.000 0.000 0.000
Th 0.250 0.250 0.250
Sc 0.750 0.750 0.750

=====

Density functional theory data (GGA-PBE) for ZrZnGe2 after structural relaxation.

- space-group type = No. 216
- size of the total moment (μB/atom) = 0.002
- final energy (eV per atom) = -4.6514

a b c (Å): 4.738 4.738 4.738
angles (deg): 60.00 60.00 60.00
Fractional coordinates of all 4 atoms:
Zr 0.000 0.000 0.000
Zn 0.250 0.250 0.250
Ge 0.500 0.500 0.500
Ge 0.750 0.750 0.750

=====

Density functional theory data (GGA-PBE) for HgBNO after structural relaxation.

- space-group type = No. 129
- final energy (eV per atom) = -4.5654

a b c (Å): 3.695 3.695 6.937
angles (deg): 90.00 90.00 90.00
Fractional coordinates of all 8 atoms:
Hg 0.250 0.750 0.000
Hg 0.750 0.250 0.000
B 0.250 0.250 0.410
B 0.750 0.750 0.590
N 0.250 0.250 0.206
N 0.750 0.750 0.794
O 0.250 0.750 0.500
O 0.750 0.250 0.500

=====

Density functional theory data (GGA-PBE) for Zr5Sb3C after structural relaxation.

- space-group type = No. 193
- size of the total moment (μB/atom) = 0.000
- final energy (eV per atom) = -7.9165

a b c (Å): 8.434 8.434 5.891
angles (deg): 90.00 90.00 120.00
Fractional coordinates of all 18 atoms:
Zr 0.000 0.220 0.250
Zr 0.000 0.780 0.750
Zr 0.220 0.000 0.250
Zr 0.220 0.220 0.750
Zr 0.333 0.667 0.000
Zr 0.333 0.667 0.500
Zr 0.667 0.333 0.000
Zr 0.667 0.333 0.500
Zr 0.780 0.000 0.750
Zr 0.780 0.780 0.250
Sb 0.000 0.405 0.750
Sb 0.000 0.595 0.250
Sb 0.405 0.000 0.750
Sb 0.405 0.405 0.250
Sb 0.595 0.000 0.250
Sb 0.595 0.595 0.750
C 0.000 0.000 0.000
C 0.000 0.000 0.500

=====

Density functional theory data (GGA-PBE) for NaFe after structural relaxation.

- space-group type = No. 216
- size of the total moment (μB/atom) = 1.548
- final energy (eV per atom) = -2.8497

a b c (Å): 4.523 4.523 4.523
angles (deg): 60.00 60.00 60.00
Fractional coordinates of all 2 atoms:
Na 0.000 0.000 0.000
Fe 0.250 0.250 0.250

=====

Density functional theory data (GGA-PBE) for Mg3Tc after structural relaxation.

- space-group type = No. 194
- size of the total moment (μB/atom) = 0.238
- final energy (eV per atom) = -3.5390

a b c (Å): 5.897 5.897 4.800
angles (deg): 90.00 90.00 120.00
Fractional coordinates of all 8 atoms:
Mg 0.173 0.347 0.250
Mg 0.173 0.827 0.250
Mg 0.347 0.173 0.750
Mg 0.653 0.827 0.250
Mg 0.827 0.173 0.750
Mg 0.827 0.653 0.750
Tc 0.333 0.667 0.750
Tc 0.667 0.333 0.250

=====

Density functional theory data (GGA-PBE) for CdRe2Sn after structural relaxation.

- space-group type = No. 216
- size of the total moment (μB/atom) = 0.014
- final energy (eV per atom) = -6.6158

a b c (Å): 4.625 4.625 4.625
angles (deg): 60.00 60.00 60.00
Fractional coordinates of all 4 atoms:
Cd 0.000 0.000 0.000
Re 0.250 0.250 0.250
Re 0.500 0.500 0.500
Sn 0.750 0.750 0.750

=====

Density functional theory data (GGA-PBE) for DyReAs after structural relaxation.

- space-group type = No. 216
- size of the total moment (μB/atom) = 0.442
- final energy (eV per atom) = -7.0706

a b c (Å): 4.464 4.464 4.464
angles (deg): 60.00 60.00 60.00
Fractional coordinates of all 3 atoms:
Dy 0.000 0.000 0.000
Re 0.500 0.500 0.500
As 0.250 0.250 0.250

=====

Density functional theory data (GGA-PBE) for BaHoSc after structural relaxation.

- space-group type = No. 216
- size of the total moment (μB/atom) = 0.411
- final energy (eV per atom) = -3.4300

a b c (Å): 5.579 5.579 5.579
angles (deg): 60.00 60.00 60.00
Fractional coordinates of all 3 atoms:
Ba 0.000 0.000 0.000
Ho 0.500 0.500 0.500
Sc 0.250 0.250 0.250

=====

Density functional theory data (GGA-PBE) for Ta2B2Sb after structural relaxation.

- space-group type = No. 65
- size of the total moment (μB/atom) = 0.000
- final energy (eV per atom) = -8.4648

a b c (Å): 7.473 7.473 3.207
angles (deg): 90.00 90.00 156.60
Fractional coordinates of all 5 atoms:
Ta 0.157 0.843 0.000
Ta 0.843 0.157 0.000
B 0.279 0.721 0.500
B 0.721 0.279 0.500
Sb 0.500 0.500 0.500

=====

Density functional theory data (GGA-PBE) for Cu2SeF3 after structural relaxation.

- space-group type = No. 6
- final energy (eV per atom) = -3.7500

a b c (Å): 4.740 3.057 5.423
angles (deg): 90.00 91.98 90.00
Fractional coordinates of all 6 atoms:
Cu 0.000 0.000 0.000
Cu 0.454 0.500 0.543
Se 0.765 0.000 0.372
F 0.228 0.500 0.166
F 0.256 0.000 0.705
F 0.766 0.500 0.853

=====

Density functional theory data (GGA-PBE) for ScZnB4 after structural relaxation.

- space-group type = No. 191
- size of the total moment (μB/atom) = 0.002
- final energy (eV per atom) = -5.9333

a b c (Å): 3.109 3.109 6.855
angles (deg): 90.00 90.00 120.00
Fractional coordinates of all 6 atoms:
Sc 0.000 0.000 0.000
Zn 0.000 0.000 0.500
B 0.333 0.667 0.252
B 0.333 0.667 0.748
B 0.667 0.333 0.252
B 0.667 0.333 0.748

=====

Density functional theory data (GGA-PBE) for LuZrTa after structural relaxation.

- ΔH_f (0 K) (eV per atom) = 0.87
- space-group type = No. 216
- size of the total moment (μB/atom) = 0.015

a b c (Å): 4.791 4.791 4.791
angles (deg): 60.00 60.00 60.00
Fractional coordinates of all 3 atoms:
Lu 0.000 0.000 0.000
Zr 0.500 0.500 0.500
Ta 0.250 0.250 0.250

=====

Density functional theory data (GGA-PBE) for PaTeAu after structural relaxation.

- space-group type = No. 216
- size of the total moment (μB/atom) = 0.502
- final energy (eV per atom) = -5.4771

a b c (Å): 4.895 4.895 4.895
angles (deg): 60.00 60.00 60.00
Fractional coordinates of all 3 atoms:
Pa 0.000 0.000 0.000
Te 0.500 0.500 0.500
Au 0.250 0.250 0.250

=====

Density functional theory data (GGA-PBE) for LaLuAsO after structural relaxation.

- space-group type = No. 129
- size of the total moment (μB/atom) = 0.003
- final energy (eV per atom) = -6.5503

a b c (Å): 4.202 4.202 9.362
angles (deg): 90.00 90.00 90.00
Fractional coordinates of all 8 atoms:
La 0.250 0.750 0.000
La 0.750 0.250 0.000
Lu 0.250 0.250 0.409
Lu 0.750 0.750 0.591
As 0.250 0.250 0.770
As 0.750 0.750 0.230
O 0.250 0.750 0.500
O 0.750 0.250 0.500

=====

Density functional theory data (GGA-PBE) for Li2Zr2Al2NiPd after structural relaxation.

- space-group type = No. 115
- size of the total moment (μB/atom) = 0.000
- final energy (eV per atom) = -5.4553

a b c (Å): 4.427 4.427 6.297
angles (deg): 90.00 90.00 90.00
Fractional coordinates of all 8 atoms:
Li 0.000 0.000 0.000
Li 0.500 0.500 0.500
Zr 0.000 0.500 0.738
Zr 0.500 0.000 0.262
Al 0.000 0.500 0.254
Al 0.500 0.000 0.746
Ni 0.000 0.000 0.500
Pd 0.500 0.500 0.000

=====

Density functional theory data (GGA-PBE) for ZrBr2Cl2 after structural relaxation.

- space-group type = No. 13
- size of the total moment (μB/atom) = 0.000
- final energy (eV per atom) = -4.6890

a b c (Å): 6.776 8.027 6.378
angles (deg): 90.00 108.08 90.00
Fractional coordinates of all 10 atoms:
Zr 0.000 0.154 0.250
Zr 0.000 0.846 0.750
Br 0.257 0.355 0.480
Br 0.257 0.645 0.980
Br 0.743 0.355 0.020
Br 0.743 0.645 0.520
Cl 0.213 0.099 0.996
Cl 0.213 0.901 0.496
Cl 0.787 0.099 0.504
Cl 0.787 0.901 0.004

=====

Density functional theory data (GGA-PBE) for CsCuMoPt after structural relaxation.

- space-group type = No. 216
- size of the total moment (μB/atom) = 0.919
- final energy (eV per atom) = -4.0532

a b c (Å): 4.993 4.993 4.993
angles (deg): 60.00 60.00 60.00
Fractional coordinates of all 4 atoms:
Cs 0.000 0.000 0.000
Cu 0.750 0.750 0.750
Mo 0.500 0.500 0.500
Pt 0.250 0.250 0.250

=====

Density functional theory data (GGA-PBE) for SrSmAgTe2S after structural relaxation.

- space-group type = No. 63
- size of the total moment (μB/atom) = 0.000
- final energy (eV per atom) = -4.6128

a b c (Å): 7.647 7.647 10.757
angles (deg): 90.00 90.00 146.89
Fractional coordinates of all 12 atoms:
Sr 0.226 0.774 0.750
Sr 0.774 0.226 0.250
Sm 0.500 0.500 0.000
Sm 0.500 0.500 0.500
Ag 0.020 0.980 0.250
Ag 0.980 0.020 0.750
Te 0.149 0.851 0.059
Te 0.149 0.851 0.441
Te 0.851 0.149 0.559
Te 0.851 0.149 0.941
S 0.422 0.578 0.250
S 0.578 0.422 0.750

=====

Density functional theory data (GGA-PBE) for LuSiHg after structural relaxation.

- space-group type = No. 216
- size of the total moment (μB/atom) = 0.000
- final energy (eV per atom) = -3.4354

a b c (Å): 4.755 4.755 4.755
angles (deg): 60.00 60.00 60.00
Fractional coordinates of all 3 atoms:
Lu 0.000 0.000 0.000
Si 0.250 0.250 0.250
Hg 0.750 0.750 0.750

=====

Density functional theory data (GGA-PBE) for K2PdWN4 after structural relaxation.

- space-group type = No. 82
- size of the total moment (μB/atom) = 0.017
- final energy (eV per atom) = -6.6042

a b c (Å): 5.619 5.619 5.619
angles (deg): 113.69 113.69 101.33
Fractional coordinates of all 8 atoms:
K 0.000 0.000 0.000
K 0.750 0.250 0.500
Pd 0.250 0.750 0.500
W 0.500 0.500 0.000
N 0.228 0.559 0.101
N 0.441 0.542 0.668
N 0.458 0.126 0.899
N 0.874 0.772 0.332

=====

Density functional theory data (GGA-PBE) for Na2Pd2O5 after structural relaxation.

- space-group type = No. 123
- final energy (eV per atom) = -4.2505

a b c (Å): 4.027 4.027 7.907
angles (deg): 90.00 90.00 90.00
Fractional coordinates of all 9 atoms:
Na 0.000 0.000 0.232
Na 0.000 0.000 0.768
Pd 0.500 0.500 0.000
Pd 0.500 0.500 0.500
O 0.000 0.000 0.500
O 0.000 0.500 0.092
O 0.000 0.500 0.908
O 0.500 0.000 0.092
O 0.500 0.000 0.908

=====

Density functional theory data (GGA-PBE) for CsSmYSe3 after structural relaxation.

- space-group type = No. 63
- size of the total moment (μB/atom) = 0.023
- final energy (eV per atom) = -5.3353

a b c (Å): 8.492 8.492 11.400
angles (deg): 90.00 90.00 148.61
Fractional coordinates of all 12 atoms:
Cs 0.238 0.762 0.750
Cs 0.762 0.238 0.250
Sm 0.500 0.500 0.000
Sm 0.500 0.500 0.500
Y 0.034 0.966 0.250
Y 0.966 0.034 0.750
Se 0.118 0.882 0.045
Se 0.118 0.882 0.455
Se 0.442 0.558 0.250
Se 0.558 0.442 0.750
Se 0.882 0.118 0.545
Se 0.882 0.118 0.955